Compound: SrSb2Ir
Source: Alexandria via LeMat-Bulk
Functional: PBE-GGA
Structure: relaxed

Calculated values
- space-group type = I-42d (122)
- formation energy (no corrections) (eV/f.u.) = -1.6

Structure (POSCAR):
```
SrSb2Ir
1.0
8.244 0.000 0.000
0.000 8.244 0.000
0.000 0.000 6.521
Sr Sb Ir
4 8 4
direct
0.000 0.000 0.000
0.000 0.500 0.250
0.500 0.000 0.750
0.500 0.500 0.500
0.169 0.250 0.625
0.250 0.669 0.875
0.250 0.831 0.375
0.331 0.250 0.125
0.669 0.750 0.125
0.750 0.169 0.375
0.750 0.331 0.875
0.831 0.750 0.625
0.000 0.000 0.500
0.000 0.500 0.750
0.500 0.000 0.250
0.500 0.500 0.000
```



Compound: AgBr3F
Source: Alexandria via LeMat-Bulk
Functional: PBE-GGA
Structure: relaxed

Calculated values
- space-group type = Pm-3m (221)
- formation energy (no corrections) (eV/f.u.) = 1.4
- energy above the lowest structure with this stoichiometry (meV/atom) = 596

Structure (POSCAR):
```
AgBr3F
1.0
4.974 0.000 0.000
0.000 4.974 0.000
0.000 0.000 4.974
Ag Br F
1 3 1
direct
0.000 0.000 0.000
0.000 0.500 0.500
0.500 0.000 0.500
0.500 0.500 0.000
0.500 0.500 0.500
```



Compound: PmGaSnPd
Source: Alexandria via LeMat-Bulk
Functional: PBE-GGA
Structure: relaxed

Calculated values
- energy of formation (kJ/mol of atoms) = -59.9
- space-group type = F-43m (216)

Structure (POSCAR):
```
PmGaSnPd
1.0
7.018 0.000 0.000
0.000 7.018 0.000
0.000 0.000 7.018
Pm Ga Sn Pd
4 4 4 4
direct
0.000 0.000 0.000
0.000 0.500 0.500
0.500 0.000 0.500
0.500 0.500 0.000
0.250 0.250 0.250
0.250 0.750 0.750
0.750 0.250 0.750
0.750 0.750 0.250
0.000 0.000 0.500
0.000 0.500 0.000
0.500 0.000 0.000
0.500 0.500 0.500
0.250 0.250 0.750
0.250 0.750 0.250
0.750 0.250 0.250
0.750 0.750 0.750
```



Compound: MgSi7Rh3
Source: Alexandria via LeMat-Bulk
Functional: PBE-GGA
Structure: relaxed

Calculated values
- space-group type = R-3c (167)
- formation energy (no corrections) (eV/f.u.) = -5.4

Structure (POSCAR):
```
MgSi7Rh3
1.0
3.773 2.178 6.660
-3.773 2.178 6.660
0.000 -4.356 6.660
Mg Si Rh
2 14 6
direct
0.000 0.000 0.000
0.500 0.500 0.500
0.065 0.851 0.672
0.149 0.328 0.935
0.172 0.351 0.565
0.250 0.250 0.250
0.328 0.935 0.149
0.351 0.565 0.172
0.435 0.828 0.649
0.565 0.172 0.351
0.649 0.435 0.828
0.672 0.065 0.851
0.750 0.750 0.750
0.828 0.649 0.435
0.851 0.672 0.065
0.935 0.149 0.328
0.074 0.750 0.426
0.250 0.574 0.926
0.426 0.074 0.750
0.574 0.926 0.250
0.750 0.426 0.074
0.926 0.250 0.574
```



Compound: AlTlBiS3
Source: Alexandria via LeMat-Bulk
Functional: PBE-GGA
Structure: relaxed

Calculated values
- space-group type = P2_1/m (11)
- formation energy (no corrections) (eV/f.u.) = -3.2

Structure (POSCAR):
```
AlTlBiS3
1.0
9.386 0.000 0.000
0.000 3.843 0.000
-0.612 0.000 10.172
Al Tl Bi S
2 2 2 6
direct
0.071 0.250 0.106
0.929 0.750 0.894
0.189 0.250 0.636
0.811 0.750 0.364
0.343 0.750 0.355
0.657 0.250 0.645
0.083 0.250 0.320
0.156 0.750 0.002
0.463 0.750 0.654
0.537 0.250 0.346
0.844 0.250 0.998
0.917 0.750 0.680
```



Compound: BeAs2W
Source: Alexandria via LeMat-Bulk
Functional: PBE-GGA
Structure: relaxed

Calculated values
- energy of formation (kJ/mol of atoms) = 38.9
- space-group type = Imm2 (44)

Structure (POSCAR):
```
BeAs2W
1.0
3.250 0.000 0.000
0.000 4.332 0.000
0.000 0.000 8.272
Be As W
2 4 2
direct
0.000 0.000 0.000
0.500 0.500 0.500
0.000 0.000 0.525
0.000 0.500 0.299
0.500 0.000 0.799
0.500 0.500 0.025
0.000 0.500 0.740
0.500 0.000 0.240
```



Compound: RbTiGa
Source: Alexandria via LeMat-Bulk
Functional: PBE-GGA
Structure: relaxed

Calculated values
- energy of formation (kJ/mol of atoms) = 0.4
- space-group type = P1 (1)
- energy above the lowest structure with this stoichiometry (meV/atom) = 0

Structure (POSCAR):
```
RbTiGa
1.0
3.514 0.000 0.000
0.000 4.129 0.000
0.017 1.941 13.038
Rb Ti Ga
2 2 2
direct
0.000 0.000 0.000
0.498 0.689 0.657
0.002 0.383 0.248
0.501 0.307 0.409
0.001 0.807 0.410
0.502 0.884 0.247
```



Compound: ScReHg2
Source: Alexandria via LeMat-Bulk
Functional: PBE-GGA
Structure: relaxed

Calculated values
- energy of formation (kJ/mol of atoms) = 44.7
- space-group type = R-3m (166)
- energy above the lowest structure with this stoichiometry (meV/atom) = 212

Structure (POSCAR):
```
ScReHg2
1.0
3.042 0.000 0.000
-1.521 2.634 0.000
0.000 0.000 29.127
Sc Re Hg
3 3 6
direct
0.000 0.000 0.000
0.333 0.667 0.667
0.667 0.333 0.333
0.000 0.000 0.500
0.333 0.667 0.167
0.667 0.333 0.833
0.000 0.000 0.248
0.000 0.000 0.752
0.333 0.667 0.418
0.333 0.667 0.915
0.667 0.333 0.085
0.667 0.333 0.582
```